Computed, not measured: a crystal of Li2CaBe relaxed with PBEsol at the meta-GGA SCAN level of DFT.

Properties
Formation energy from the elements: 24.1 kJ per mole of atoms

a = 3.3827 Å, b = 5.0011 Å, c = 5.6751 Å
α = 115.62°, β = 107.34°, γ = 90.00°
Fractional coordinates of all 4 atoms:
1 Be 0.0000 0.5000 0.0000
2 Ca 0.5000 0.0000 0.0000
3 Li 0.2940 0.2957 0.5880
4 Li 0.7060 0.7043 0.4120